Record 1
Here is a relaxed structure of VReMo4 from the Alexandria database. Energies are from PBE-GGA.

## Properties
offset from the most stable computed form	869	kJ/mol of formula units
crystal system	orthorhombic
formation energy	1.422	eV/atom
total energy	-9.393	eV per atom

Geometry as POSCAR:
```
VReMo4
1.0
6.8315 0.0000 0.0000
0.0000 7.1640 0.0000
0.0000 0.0000 4.6831
V Re Mo
2 2 8
direct
0.0000 0.0000 0.0000 V
0.5000 0.5000 0.0000 V
0.0000 0.5000 0.5000 Re
0.5000 0.0000 0.5000 Re
0.0000 0.1648 0.5000 Mo
0.0000 0.8352 0.5000 Mo
0.1751 0.5000 0.0000 Mo
0.3249 0.0000 0.0000 Mo
0.5000 0.3352 0.5000 Mo
0.5000 0.6648 0.5000 Mo
0.6751 0.0000 0.0000 Mo
0.8249 0.5000 0.0000 Mo
```

Record 2
Here is a relaxed structure of TlIn9Sn2 from the Alexandria database. Energies are from PBE-GGA.

## Properties
offset from the most stable computed form	3	kJ/mol of formula units
crystal system	tetragonal
formation energy	0.020	eV/atom
total energy	-2.898	eV per atom

Geometry as POSCAR:
```
TlIn9Sn2
1.0
5.1356 0.0000 0.0000
0.0000 5.1356 0.0000
0.0000 0.0000 12.6068
Tl In Sn
1 9 2
direct
0.0000 0.0000 0.0000 Tl
0.0000 0.5000 0.1710 In
0.0000 0.5000 0.5000 In
0.0000 0.5000 0.8290 In
0.5000 0.0000 0.1710 In
0.5000 0.0000 0.5000 In
0.5000 0.0000 0.8290 In
0.5000 0.5000 0.0000 In
0.5000 0.5000 0.3369 In
0.5000 0.5000 0.6631 In
0.0000 0.0000 0.3327 Sn
0.0000 0.0000 0.6673 Sn
```

Record 3
Here is a relaxed structure of CsFeNi2 from the Alexandria database. Energies are from PBE-GGA.

## Properties
offset from the most stable computed form	202	kJ/mol of formula units
crystal system	cubic
formation energy	1.414	eV/atom
total energy	-3.805	eV per atom

Geometry as POSCAR:
```
CsFeNi2
1.0
6.5669 0.0000 0.0000
0.0000 6.5669 0.0000
0.0000 0.0000 6.5669
Cs Fe Ni
4 4 8
direct
0.0000 0.0000 0.0000 Cs
0.0000 0.5000 0.5000 Cs
0.5000 0.0000 0.5000 Cs
0.5000 0.5000 0.0000 Cs
0.0000 0.0000 0.5000 Fe
0.0000 0.5000 0.0000 Fe
0.5000 0.0000 0.0000 Fe
0.5000 0.5000 0.5000 Fe
0.2500 0.2500 0.2500 Ni
0.2500 0.2500 0.7500 Ni
0.2500 0.7500 0.2500 Ni
0.2500 0.7500 0.7500 Ni
0.7500 0.2500 0.2500 Ni
0.7500 0.2500 0.7500 Ni
0.7500 0.7500 0.2500 Ni
0.7500 0.7500 0.7500 Ni
```